SbSeI3F6 | PBE | relaxed

Structure (POSCAR):
```
SbSeI3F6
1.0
8.9198 0.0000 0.0422
0.0000 10.5881 0.0000
-1.7790 0.0000 12.9907
Sb Se I F
4 4 12 24
Direct
0.1987 0.2197 0.0654
0.1987 0.2803 0.5654
0.8013 0.7803 0.9346
0.8013 0.7197 0.4346
0.2061 0.6862 0.7073
0.2061 0.8138 0.2073
0.7939 0.3138 0.2927
0.7939 0.1862 0.7927
0.4491 0.6731 0.6248
0.4491 0.8269 0.1248
0.2568 0.9527 0.3663
0.2125 0.5882 0.2736
0.5509 0.3269 0.3752
0.7875 0.0882 0.2264
0.7875 0.4118 0.7264
0.2568 0.5473 0.8663
0.2125 0.9118 0.7736
0.7432 0.0473 0.6337
0.5509 0.1731 0.8752
0.7432 0.4527 0.1337
0.0078 0.2422 0.4861
0.8694 0.7104 0.8137
0.1306 0.2104 0.6863
0.7259 0.8839 0.4692
0.3934 0.3168 0.6390
0.1306 0.2896 0.1863
0.1280 0.0550 0.0977
0.2741 0.1161 0.5308
0.7323 0.8482 0.0582
0.2677 0.3482 0.4418
0.8720 0.9450 0.9023
0.8720 0.5550 0.4023
0.7323 0.6518 0.5582
0.8694 0.7896 0.3137
0.6066 0.8168 0.8610
0.2741 0.3839 0.0308
0.6066 0.6832 0.3610
0.2677 0.1518 0.9418
0.7259 0.6161 0.9692
0.1280 0.4450 0.5977
0.0078 0.2578 0.9861
0.9922 0.7578 0.5139
0.9922 0.7422 0.0139
0.3934 0.1832 0.1390
```

symmetry: No. 14
E_form (uncorrected): -1.4821 eV per atom